This record from the Alexandria database describes CdAsN3 after structural relaxation. The functional is PBE.

Lattice parameters (Å, degrees): 4.192 4.192 4.192 90.00 90.00 90.00
Last column: magnetic moment on the atom in μB.
Fractional coordinates of all 5 atoms:
As 0.500 0.500 0.500  -0.45
N 0.000 0.500 0.000  0.89
N 0.000 0.000 0.500  0.73
N 0.500 0.000 0.000  0.83
Cd 0.000 0.000 0.000  0.06

Summary:
Total energy ... -17.9 eV per cell

This record from the Alexandria database describes SiPbW2 after structural relaxation. The functional is PBE.

Lattice parameters (Å, degrees): 5.198 5.198 5.198 142.32 122.82 70.52
Fractional coordinates of all 4 atoms:
Pb 0.250 0.750 0.500
Si 0.750 0.250 0.500
W 0.959 0.959 0.000
W 0.541 0.541 0.000

Summary:
Offset from the most stable computed form ... 1.64 eV/f.u.
Total energy ... -32.0 eV per cell

This record from the Alexandria database describes Dy3YTm6 after structural relaxation. The functional is PBE.

Lattice parameters (Å, degrees): 6.129 10.848 10.848 119.73 90.00 90.00
Fractional coordinates of all 20 atoms:
Dy 0.460 0.937 0.719
Dy 0.960 0.719 0.937
Dy 0.070 0.392 0.608
Dy 0.570 0.608 0.392
Dy 0.960 0.063 0.281
Dy 0.460 0.281 0.063
Y 0.149 0.207 0.793
Y 0.649 0.793 0.207
Tm 0.032 0.713 0.617
Tm 0.532 0.617 0.713
Tm 0.361 0.539 0.961
Tm 0.861 0.961 0.539
Tm 0.417 0.953 0.047
Tm 0.642 0.284 0.716
Tm 0.142 0.716 0.284
Tm 0.917 0.047 0.953
Tm 0.361 0.039 0.461
Tm 0.861 0.461 0.039
Tm 0.032 0.383 0.287
Tm 0.532 0.287 0.383

Summary:
Offset from the most stable computed form ... 0.32 eV/f.u.
Total energy ... -91.1 eV per cell

This record from the Alexandria database describes UAgHg2O6 after structural relaxation. The functional is PBE.

Lattice parameters (Å, degrees): 5.225 6.746 7.223 48.90 64.09 65.57
Last column: magnetic moment on the atom in μB.
Fractional coordinates of all 10 atoms:
U 0.316 0.316 0.052  0.13
Ag 0.816 0.816 0.551  0.37
Hg 0.550 0.630 0.273  0.01
Hg 0.082 0.002 0.830  0.01
O 0.517 0.116 0.317  0.07
O 0.185 0.923 0.224  0.12
O 0.945 0.388 0.287  0.02
O 0.448 0.710 0.879  0.12
O 0.687 0.244 0.816  0.02
O 0.115 0.517 0.786  0.07

Summary:
Total energy ... -57.6 eV per cell

This record from the Alexandria database describes Cu2Pt2Cl7 after structural relaxation. The functional is PBE.

Lattice parameters (Å, degrees): 7.774 7.774 12.195 76.23 76.23 74.60
Last column: magnetic moment on the atom in μB.
Fractional coordinates of all 22 atoms:
Cu 0.909 0.971 0.162  0.27
Cu 0.971 0.909 0.662  0.27
Cu 0.029 0.091 0.338  0.27
Cu 0.091 0.029 0.838  0.27
Pt 0.327 0.679 0.458  0.09
Pt 0.321 0.673 0.042  0.09
Pt 0.679 0.327 0.958  0.09
Pt 0.673 0.321 0.542  0.09
Cl 0.318 0.942 0.322  0.03
Cl 0.751 0.017 0.014  0.06
Cl 0.642 0.594 0.410  0.01
Cl 0.801 0.199 0.250  0.07
Cl 0.942 0.318 0.822  0.03
Cl 0.017 0.751 0.514  0.06
Cl 0.594 0.642 0.910  0.01
Cl 0.406 0.358 0.090  0.01
Cl 0.983 0.249 0.486  0.06
Cl 0.058 0.682 0.178  0.03
Cl 0.199 0.801 0.750  0.07
Cl 0.358 0.406 0.590  0.01
Cl 0.249 0.983 0.986  0.06
Cl 0.682 0.058 0.678  0.03

Summary:
Total energy ... -75.7 eV per cell

This record from the Alexandria database describes Ti4ZnN2 after structural relaxation. The functional is PBE.

Lattice parameters (Å, degrees): 3.095 5.428 10.855 90.00 90.00 106.56
Fractional coordinates of all 14 atoms:
Ti 0.243 0.486 0.603
Ti 0.757 0.514 0.397
Ti 0.757 0.514 0.103
Ti 0.243 0.486 0.897
Ti 0.915 0.829 0.750
Ti 0.085 0.171 0.250
Ti 0.500 0.000 0.000
Ti 0.500 0.000 0.500
Zn 0.388 0.777 0.250
Zn 0.612 0.223 0.750
N 0.867 0.733 0.940
N 0.133 0.267 0.060
N 0.867 0.733 0.560
N 0.133 0.267 0.440

Summary:
Total energy ... -115.1 eV per cell